No. 1
Computed, not measured: a relaxed TbAsPO crystal at the PBE-GGA level of DFT.

Values from the calculation:
Its crystal system is tetragonal.

Cell: 4.285 4.285 7.860 Å, 90.00 90.00 90.00°
Fractional coordinates of all 8 atoms:
As: 0.000 0.000 0.500
As: 0.500 0.500 0.500
O: 0.000 0.000 0.000
O: 0.500 0.500 0.000
P: 0.500 0.000 0.334
P: 0.000 0.500 0.666
Tb: 0.000 0.500 0.113
Tb: 0.500 0.000 0.887

---

No. 2
Computed, not measured: a relaxed TbAsPO crystal at the PBE-GGA level of DFT.

Values from the calculation:
Its crystal system is orthorhombic.

Cell: 5.028 6.777 6.166 Å, 90.00 90.00 90.00°
Fractional coordinates of all 8 atoms:
As: 0.000 0.315 0.056
As: 0.000 0.685 0.556
O: 0.500 0.931 0.291
O: 0.500 0.069 0.791
P: 0.000 0.372 0.424
P: 0.000 0.628 0.924
Tb: 0.500 0.177 0.482
Tb: 0.500 0.823 0.982

---

No. 3
Computed, not measured: a relaxed TcAsPO crystal at the PBE-GGA level of DFT.

Values from the calculation:
Its crystal system is orthorhombic.

Cell: 2.921 7.228 5.672 Å, 90.00 90.00 90.00°
Fractional coordinates of all 8 atoms:
As: 0.000 0.504 0.374
As: 0.000 0.496 0.874
O: 0.500 0.807 0.377
O: 0.500 0.193 0.877
P: 0.000 0.182 0.376
P: 0.000 0.818 0.876
Tc: 0.500 0.000 0.126
Tc: 0.500 0.000 0.626

---

No. 4
Computed, not measured: a relaxed TcAsPO crystal at the PBE-GGA level of DFT.

Values from the calculation:
Its crystal system is tetragonal.

Cell: 4.085 4.085 8.620 Å, 90.00 90.00 90.00°
Fractional coordinates of all 8 atoms:
As: 0.750 0.250 0.500
As: 0.250 0.750 0.500
O: 0.750 0.250 0.000
O: 0.250 0.750 0.000
P: 0.750 0.750 0.296
P: 0.250 0.250 0.704
Tc: 0.750 0.750 0.050
Tc: 0.250 0.250 0.950

---

No. 5
Computed, not measured: a relaxed TcAsPO crystal at the PBE-GGA level of DFT.

Values from the calculation:
Its crystal system is tetragonal.

Cell: 3.865 3.865 8.121 Å, 90.00 90.00 90.00°
Fractional coordinates of all 8 atoms:
As: 0.000 0.000 0.120
As: 0.500 0.500 0.880
O: 0.500 0.000 0.000
O: 0.000 0.500 0.000
P: 0.500 0.500 0.331
P: 0.000 0.000 0.669
Tc: 0.500 0.000 0.500
Tc: 0.000 0.500 0.500

---

No. 6
Computed, not measured: a relaxed TcAsPO crystal at the PBE-GGA level of DFT.

Values from the calculation:
Its crystal system is orthorhombic.

Cell: 3.281 6.287 7.468 Å, 90.00 90.00 90.00°
Fractional coordinates of all 8 atoms:
As: 0.000 0.211 0.013
As: 0.000 0.789 0.513
O: 0.000 0.302 0.446
O: 0.000 0.698 0.946
P: 0.500 0.862 0.301
P: 0.500 0.138 0.801
Tc: 0.500 0.163 0.494
Tc: 0.500 0.837 0.994

---

No. 7
Computed, not measured: a relaxed TmAsPO crystal at the PBE-GGA level of DFT.

Values from the calculation:
Its crystal system is orthorhombic.

Cell: 3.431 6.898 6.539 Å, 90.00 90.00 90.00°
Fractional coordinates of all 8 atoms:
As: 0.000 0.116 0.039
As: 0.000 0.884 0.539
O: 0.000 0.564 0.006
O: 0.000 0.436 0.506
P: 0.500 0.880 0.300
P: 0.500 0.120 0.800
Tm: 0.500 0.305 0.409
Tm: 0.500 0.695 0.909

---

No. 8
Computed, not measured: a relaxed TmAsPO crystal at the PBE-GGA level of DFT.

Values from the calculation:
Its crystal system is orthorhombic.

Cell: 4.843 6.761 6.183 Å, 90.00 90.00 90.00°
Fractional coordinates of all 8 atoms:
As: 0.000 0.813 0.058
As: 0.000 0.187 0.558
O: 0.500 0.436 0.286
O: 0.500 0.564 0.786
P: 0.000 0.873 0.425
P: 0.000 0.127 0.925
Tm: 0.500 0.670 0.484
Tm: 0.500 0.330 0.984

---

No. 9
Computed, not measured: a relaxed TmAsPO crystal at the PBE-GGA level of DFT.

Values from the calculation:
Its crystal system is tetragonal.

Cell: 5.522 5.522 4.672 Å, 90.00 90.00 90.00°
Fractional coordinates of all 8 atoms:
As: 0.500 0.000 0.003
As: 0.000 0.500 0.997
O: 0.000 0.000 0.000
O: 0.500 0.500 0.000
P: 0.000 0.500 0.496
P: 0.500 0.000 0.504
Tm: 0.000 0.000 0.500
Tm: 0.500 0.500 0.500

---

No. 10
Computed, not measured: a relaxed TmAsPO crystal at the PBE-GGA level of DFT.

Values from the calculation:
Its crystal system is tetragonal.

Cell: 4.197 4.197 7.907 Å, 90.00 90.00 90.00°
Fractional coordinates of all 8 atoms:
As: 0.750 0.250 0.500
As: 0.250 0.750 0.500
O: 0.750 0.250 0.000
O: 0.250 0.750 0.000
P: 0.750 0.750 0.326
P: 0.250 0.250 0.674
Tm: 0.250 0.250 0.110
Tm: 0.750 0.750 0.890

---

No. 11
Computed, not measured: a relaxed ZrAsPO crystal at the PBE-GGA level of DFT.

Values from the calculation:
Its crystal system is tetragonal.

Cell: 3.619 3.619 9.757 Å, 90.00 90.00 90.00°
Fractional coordinates of all 8 atoms:
As: 0.000 0.000 0.500
As: 0.500 0.500 0.500
O: 0.000 0.000 0.000
O: 0.500 0.500 0.000
P: 0.500 0.000 0.259
P: 0.000 0.500 0.741
Zr: 0.000 0.500 0.129
Zr: 0.500 0.000 0.871

---

No. 12
Computed, not measured: a relaxed ZrAsPO crystal at the PBE-GGA level of DFT.

Values from the calculation:
Its crystal system is orthorhombic.

Cell: 3.741 5.733 7.341 Å, 90.00 90.00 90.00°
Fractional coordinates of all 8 atoms:
As: 0.000 0.810 0.084
As: 0.000 0.190 0.584
O: 0.500 0.368 0.264
O: 0.500 0.632 0.764
P: 0.000 0.855 0.405
P: 0.000 0.145 0.905
Zr: 0.500 0.453 0.002
Zr: 0.500 0.547 0.502

---

Number 1: offset from the most stable computed form 0 meV per atom, total magnetization 0.043 Bohr magnetons per cell, uncorrected energy -49.89 eV per cell. Number 2: offset from the most stable computed form 43 meV per atom, total magnetization 0.000 Bohr magnetons per cell, uncorrected energy -49.55 eV per cell. Number 3: offset from the most stable computed form 0 meV per atom, total magnetization 0.002 Bohr magnetons per cell, uncorrected energy -54.17 eV per cell. Number 4: offset from the most stable computed form 377 meV per atom, total magnetization 0.012 Bohr magnetons per cell, uncorrected energy -51.16 eV per cell. Number 5: offset from the most stable computed form 225 meV per atom, total magnetization 0.025 Bohr magnetons per cell, uncorrected energy -52.38 eV per cell. Number 6: offset from the most stable computed form 77 meV per atom, total magnetization 0.000 Bohr magnetons per cell, uncorrected energy -53.56 eV per cell. Number 7: offset from the most stable computed form 39 meV per atom, total magnetization 0.007 Bohr magnetons per cell, uncorrected energy -49.11 eV per cell. Number 8: offset from the most stable computed form 7 meV per atom, total magnetization 0.005 Bohr magnetons per cell, uncorrected energy -49.37 eV per cell. Number 9: offset from the most stable computed form 371 meV per atom, total magnetization 0.004 Bohr magnetons per cell, uncorrected energy -46.45 eV per cell. Number 10: offset from the most stable computed form 0 meV per atom, total magnetization 0.076 Bohr magnetons per cell, uncorrected energy -49.42 eV per cell. Number 11: offset from the most stable computed form 51 meV per atom, total magnetization 0.005 Bohr magnetons per cell, uncorrected energy -56.59 eV per cell. Number 12: offset from the most stable computed form 89 meV per atom, total magnetization 0.005 Bohr magnetons per cell, uncorrected energy -56.29 eV per cell.